Record 1
{
  "formula": "Y2BeTl",
  "functional": "meta-GGA SCAN",
  "state": "single point on PBEsol structure",
  "relative_energy_mev_per_atom": 33,
  "formation_enthalpy_0k_mev_per_atom": -244,
  "lattice_angstrom": [[0.0000, 3.5900, 3.5900], [3.5900, 0.0000, 3.5900], [3.5900, 3.5900, 0.0000]],
  "species": ["Y", "Y", "Be", "Tl"],
  "fractional_positions": [[0.2500, 0.2500, 0.2500], [0.7500, 0.7500, 0.7500], [0.0000, 0.0000, 0.0000], [0.5000, 0.5000, 0.5000]]
}

=====

Record 2
{
  "formula": "YBeTl2",
  "functional": "meta-GGA SCAN",
  "state": "single point on PBEsol structure",
  "formation_enthalpy_0k_mev_per_atom": -14,
  "lattice_angstrom": [[3.5790, 0.0000, 0.0000], [0.0000, 4.3456, 0.0000], [-0.8836, 0.0000, 5.7835]],
  "species": ["Y", "Be", "Tl", "Tl"],
  "fractional_positions": [[0.0000, 0.0000, 0.0000], [0.5000, 0.0000, 0.5000], [0.3527, 0.5000, 0.7243], [0.6473, 0.5000, 0.2757]]
}

=====

Record 3
{
  "formula": "Y2BeTl",
  "functional": "meta-GGA SCAN",
  "state": "single point on PBEsol structure",
  "relative_energy_mev_per_atom": 0,
  "formation_enthalpy_0k_mev_per_atom": -277,
  "lattice_angstrom": [[3.5003, 0.0000, 0.0000], [0.0000, 3.5003, 0.0000], [0.0000, 0.0000, 7.3580]],
  "species": ["Y", "Y", "Be", "Tl"],
  "fractional_positions": [[0.0000, 0.0000, 0.2190], [0.0000, 0.0000, 0.7810], [0.5000, 0.5000, 0.0000], [0.5000, 0.5000, 0.5000]]
}

=====

Record 4
{
  "formula": "BeTl2Zn",
  "functional": "meta-GGA SCAN",
  "state": "single point on PBEsol structure",
  "relative_energy_mev_per_atom": 0,
  "formation_enthalpy_0k_mev_per_atom": 314,
  "lattice_angstrom": [[3.0707, 0.0000, 0.0000], [0.0000, 3.0707, 0.0000], [0.0000, 0.0000, 8.6263]],
  "species": ["Be", "Tl", "Tl", "Zn"],
  "fractional_positions": [[0.0000, 0.0000, 0.0000], [0.0000, 0.0000, 0.6109], [0.5000, 0.5000, 0.2523], [0.5000, 0.5000, 0.8866]]
}

=====

Number 1: electronic total energy -33.34 eV/atom. Number 2: electronic total energy -44.24 eV/atom. Number 3: electronic total energy -33.38 eV/atom. Number 4: electronic total energy -40.33 eV/atom.